[1]
Density functional theory data (GGA-PBE) for a relaxed structure of AlCd2As.

**Energy above the most stable polymorph in this dataset**: 0.1146 eV/atom

Cell lengths 9.924, 3.057, 5.613 Å; angles 90.00, 101.55, 90.00 degrees
Space group Cm (No. 8)
Asymmetric unit:
Al (0.000, 0.000, 0.000) x2
Cd (0.244, 0.500, 0.274) x2
Cd (0.499, 0.000, 0.501) x2
As (0.260, 0.000, 0.806) x2

[2]
Density functional theory data (GGA-PBE) for a relaxed structure of AlCd2As.

**Energy above the most stable polymorph in this dataset**: 0.1666 eV/atom

Cell lengths 7.023, 7.023, 7.023 Å; angles 90.00, 90.00, 90.00 degrees
Space group F-43m (No. 216)
Asymmetric unit:
Al (0.000, 0.000, 0.000) x4
Cd (0.000, 0.000, 0.500) x4
Cd (0.250, 0.250, 0.750) x4
As (0.250, 0.250, 0.250) x4

[3]
Density functional theory data (GGA-PBE) for a relaxed structure of AlCd2As.

**Energy above the most stable polymorph in this dataset**: 0.1247 eV/atom

Cell lengths 3.971, 3.971, 5.497 Å; angles 90.00, 90.00, 90.00 degrees
Space group P4/mmm (No. 123)
Asymmetric unit:
Al (0.000, 0.000, 0.000) x1
Cd (0.500, 0.500, 0.250) x2
As (0.000, 0.000, 0.500) x1

[4]
Density functional theory data (GGA-PBE) for a relaxed structure of Al2CdCuAs.

**Electronic total energy**: -14.84 eV/cell

Cell lengths 5.016, 5.016, 4.541 Å; angles 90.00, 90.00, 90.00 degrees
Space group P4/mmm (No. 123)
Asymmetric unit:
Al (0.000, 0.500, 0.000) x2
Cd (0.000, 0.000, 0.500) x1
Cu (0.500, 0.500, 0.500) x1
As (0.500, 0.500, 0.000) x1

[5]
Density functional theory data (GGA-PBE) for a relaxed structure of AlCdGa2As.

**Energy above the most stable polymorph in this dataset**: 0.0000 eV/atom

Cell lengths 5.167, 5.167, 4.893 Å; angles 90.00, 90.00, 90.00 degrees
Space group P4/mmm (No. 123)
Asymmetric unit:
Al (0.000, 0.000, 0.000) x1
Cd (0.500, 0.500, 0.000) x1
Ga (0.000, 0.500, 0.500) x2
As (0.000, 0.000, 0.500) x1

[6]
Density functional theory data (GGA-PBE) for a relaxed structure of AlCdGa2As.

**Energy above the most stable polymorph in this dataset**: 0.2370 eV/atom

Cell lengths 5.165, 5.165, 5.233 Å; angles 90.00, 90.00, 90.00 degrees
Space group P4/mmm (No. 123)
Asymmetric unit:
Al (0.000, 0.000, 0.000) x1
Cd (0.500, 0.500, 0.500) x1
Ga (0.000, 0.500, 0.500) x2
As (0.500, 0.500, 0.000) x1